# 1
Compound: Tl2CdIn4
Source: Alexandria via LeMat-Bulk
Functional: PBE
Structure: optimized geometry

abc: 11.550 11.550 3.133
angles: 90.00 90.00 151.62
Positions (direct):
Tl 0.210 0.790 0.000
Tl 0.790 0.210 0.000
Cd 0.500 0.500 0.500
In 0.071 0.929 0.500
In 0.371 0.629 0.000
In 0.629 0.371 0.000
In 0.929 0.071 0.500

## Properties
- N(E_F) (states/eV per cell) = 4.017
- energy relative to the lowest polymorph listed for this composition (meV/atom) = 18.2
- energy (eV/atom) = -2.32


# 2
Compound: Tl3Cd4In2
Source: Alexandria via LeMat-Bulk
Functional: PBE
Structure: optimized geometry

abc: 6.337 6.337 10.034
angles: 118.64 118.64 46.29
Positions (direct):
Tl 0.000 0.000 0.000
Tl 0.341 0.341 0.321
Tl 0.659 0.659 0.679
Cd 0.069 0.069 0.408
Cd 0.287 0.287 0.953
Cd 0.713 0.713 0.047
Cd 0.931 0.931 0.592
In 0.380 0.380 0.719
In 0.620 0.620 0.281

## Properties
- N(E_F) (states/eV per cell) = 3.717
- energy relative to the lowest polymorph listed for this composition (meV/atom) = 5.0
- energy (eV/atom) = -1.76


# 3
Compound: Tl3Cd2In3
Source: Alexandria via LeMat-Bulk
Functional: PBE
Structure: optimized geometry

abc: 9.483 9.483 9.483
angles: 150.79 147.67 44.13
Positions (direct):
Tl 0.000 0.000 0.000
Tl 0.133 0.633 0.500
Tl 0.867 0.367 0.500
Cd 0.252 0.252 0.000
Cd 0.748 0.748 0.000
In 0.367 0.867 0.500
In 0.500 0.500 0.000
In 0.633 0.133 0.500

## Properties
- N(E_F) (states/eV per cell) = 3.284
- energy (eV/atom) = -2.10


Here are the calculated formation energy from the elements numbers, same order: 0.055 0.047 0.043 (eV/atom).